[1]
## TcGe2Au (GGA-PBE)

Data for a relaxed TcGe2Au crystal.

abc: 3.270 3.270 6.052
angles: 90.00 90.00 90.00
Sites, in units of the cell vectors:
Au 0.500 0.500 0.500
Ge 0.000 0.000 0.774
Tc 0.500 0.500 0.000
Ge 0.000 0.000 0.226

For the energy above the most stable polymorph in this dataset, the calculation gives 126 meV per atom. Its total DFT energy (no corrections) is -5.644 eV/atom. The density of states at the Fermi level is 0.365 states/eV/atom. For the magnetization, the calculation gives 0.0 μB per formula unit. The calculation puts the energy of formation at 0.0757 eV/atom. The space group is No. 123.



[2]
## K4AgPt (GGA-PBE)

Data for a relaxed K4AgPt crystal.

abc: 5.843 8.632 8.632
angles: 90.00 90.00 90.00
Sites, in units of the cell vectors:
Ag 0.250 0.000 0.000
K 0.500 0.189 0.342
K 0.500 0.342 0.811
K 0.500 0.811 0.658
K 0.000 0.811 0.342
K 0.000 0.658 0.811
K 0.000 0.342 0.189
Pt 0.250 0.500 0.500
K 0.500 0.658 0.189
K 0.000 0.189 0.658
Ag 0.750 0.000 0.000
Pt 0.750 0.500 0.500

For the energy above the most stable polymorph in this dataset, the calculation gives 0 meV per atom. Its total DFT energy (no corrections) is -2.181 eV/atom. The density of states at the Fermi level is 0.435 states/eV/atom. For the magnetization, the calculation gives 0.0 μB per formula unit. The calculation puts the energy of formation at 0.0322 eV/atom. The space group is No. 124.



[3]
## AcEu2Er (GGA-PBE)

Data for a relaxed AcEu2Er crystal.

abc: 6.044 6.044 6.044
angles: 60.00 60.00 60.00
Last column: magnetic moment on the atom in μB.
Sites, in units of the cell vectors:
Eu 0.750 0.750 0.750  6.85
Ac 0.500 0.500 0.500  0.05
Er 0.000 0.000 0.000  0.07
Eu 0.250 0.250 0.250  6.85

For the energy above the most stable polymorph in this dataset, the calculation gives 36 meV per atom. Its total DFT energy (no corrections) is -7.170 eV/atom. The density of states at the Fermi level is 1.168 states/eV/atom. For the magnetization, the calculation gives 14.5 μB per formula unit. The calculation puts the energy of formation at 0.1350 eV/atom. The space group is No. 225.



[4]
## La2TbTm (GGA-PBE)

Data for a relaxed La2TbTm crystal.

abc: 5.793 5.793 5.793
angles: 60.00 60.00 60.00
Sites, in units of the cell vectors:
La 0.750 0.750 0.750
La 0.250 0.250 0.250
Tm 0.500 0.500 0.500
Tb 0.000 0.000 0.000

For the energy above the most stable polymorph in this dataset, the calculation gives 68 meV per atom. Its total DFT energy (no corrections) is -4.657 eV/atom. The density of states at the Fermi level is 1.741 states/eV/atom. For the magnetization, the calculation gives 0.0 μB per formula unit. The calculation puts the energy of formation at 0.0822 eV/atom. The space group is No. 225.



Repeat the first record exactly.
## TcGe2Au (GGA-PBE)

Data for a relaxed TcGe2Au crystal.

abc: 3.270 3.270 6.052
angles: 90.00 90.00 90.00
Sites, in units of the cell vectors:
Au 0.500 0.500 0.500
Ge 0.000 0.000 0.774
Tc 0.500 0.500 0.000
Ge 0.000 0.000 0.226

For the energy above the most stable polymorph in this dataset, the calculation gives 126 meV per atom. Its total DFT energy (no corrections) is -5.644 eV/atom. The density of states at the Fermi level is 0.365 states/eV/atom. For the magnetization, the calculation gives 0.0 μB per formula unit. The calculation puts the energy of formation at 0.0757 eV/atom. The space group is No. 123.



Copy entry 4 word for word.
## La2TbTm (GGA-PBE)

Data for a relaxed La2TbTm crystal.

abc: 5.793 5.793 5.793
angles: 60.00 60.00 60.00
Sites, in units of the cell vectors:
La 0.750 0.750 0.750
La 0.250 0.250 0.250
Tm 0.500 0.500 0.500
Tb 0.000 0.000 0.000

For the energy above the most stable polymorph in this dataset, the calculation gives 68 meV per atom. Its total DFT energy (no corrections) is -4.657 eV/atom. The density of states at the Fermi level is 1.741 states/eV/atom. For the magnetization, the calculation gives 0.0 μB per formula unit. The calculation puts the energy of formation at 0.0822 eV/atom. The space group is No. 225.



Q: Which of these has the lowest energy above the most stable polymorph in this dataset?
A: K4AgPt



Q: What is the energy of formation in the first record?
A: 0.0757 eV/atom